Record 1
Ta2RhCl after structural relaxation, computed with GGA-PBE.

extended XYZ file:
```
4
Lattice="-1.473 2.327 4.763 1.473 -2.327 4.763 1.473 2.327 -4.763" Properties=species:S:1:pos:R:3 pbc="T T T"
Ta 0.000 0.000 0.000
Ta 0.000 2.327 2.079
Rh 1.473 0.000 2.385
Cl 0.000 0.000 4.821
```

Results
For the density, the calculation gives 12.72 g/cm³. For the density of states at the Fermi level, the calculation gives 3.255 states/eV/f.u. The formation energy from raw total energies is 2.4 kcal/mol of atoms. As for the space group: Imm2 (44).

Record 2
Rb2PmSnO4 after structural relaxation, computed with GGA-PBE.

extended XYZ file:
```
8
Lattice="4.225 -4.123 0.000 4.225 4.123 0.000 -4.084 0.000 4.890" Properties=species:S:1:pos:R:3 pbc="T T T"
Rb 0.000 0.000 0.000
Rb 2.183 -2.039 2.445
Pm 4.225 -0.174 0.000
Sn 2.183 2.035 2.445
O 0.628 0.780 2.901
O -1.527 -1.604 4.503
O 3.738 0.780 1.989
O 5.893 -1.604 0.388
```

Results
For the density, the calculation gives 4.86 g/cm³. For the density of states at the Fermi level, the calculation gives 1.693 states/eV/f.u. The formation energy from raw total energies is -44.2 kcal/mol of atoms. As for the space group: C2 (5).

Record 3
V2CoRu after structural relaxation, computed with GGA-PBE.

extended XYZ file:
```
4
Lattice="3.887 0.000 0.000 0.000 3.887 0.000 0.000 0.000 3.390" Properties=species:S:1:pos:R:3 pbc="T T T"
V 0.000 1.943 0.000
V 1.943 0.000 0.000
Co 0.000 0.000 1.695
Ru 1.943 1.943 1.695
```

Results
For the density, the calculation gives 8.49 g/cm³. For the density of states at the Fermi level, the calculation gives 5.726 states/eV/f.u. The calculation puts the formation energy from the elements at -0.6 eV per formula unit. As for the space group: P4/mmm (123).

Record 4
RbPCl2O after structural relaxation, computed with GGA-PBE.

extended XYZ file:
```
5
Lattice="6.057 0.000 0.000 0.000 6.057 0.000 0.000 0.000 3.390" Properties=species:S:1:pos:R:3 pbc="T T T"
Rb 0.000 0.000 0.000
P 3.029 3.029 0.000
Cl 0.000 3.029 1.695
Cl 3.029 0.000 1.695
O 3.029 3.029 1.695
```

Results
For the density, the calculation gives 2.71 g/cm³. For the density of states at the Fermi level, the calculation gives 2.301 states/eV/f.u. The formation energy from raw total energies is -14.1 kcal/mol of atoms. As for the space group: P4/mmm (123).

Record 5
Re2TcAs after structural relaxation, computed with GGA-PBE.

extended XYZ file:
```
4
Lattice="2.821 0.000 0.000 0.000 4.097 0.000 -1.178 0.000 5.183" Properties=species:S:1:pos:R:3 pbc="T T T"
Re 0.055 0.000 1.313
Re 1.589 0.000 3.870
Tc 1.411 2.048 0.000
As 0.822 2.048 2.591
```

Results
For the density, the calculation gives 15.12 g/cm³. For the density of states at the Fermi level, the calculation gives 2.885 states/eV/f.u. The calculation puts the formation energy from the elements at 1.1 eV per formula unit. As for the space group: P2/m (10).

Record 6
BaCuP after structural relaxation, computed with GGA-PBE.

extended XYZ file:
```
3
Lattice="4.204 0.000 0.000 -2.102 3.640 0.000 0.000 0.000 4.643" Properties=species:S:1:pos:R:3 pbc="T T T"
Ba 0.000 0.000 0.000
Cu 2.102 1.213 2.322
P 0.000 2.427 2.322
```

Results
For the density, the calculation gives 5.42 g/cm³. For the density of states at the Fermi level, the calculation gives 0.376 states/eV/f.u. The calculation puts the formation energy from the elements at -2.2 eV per formula unit. As for the space group: P-6m2 (187).

Record 7
Te8IrRh2 after structural relaxation, computed with GGA-PBE.

extended XYZ file:
```
11
Lattice="7.779 0.000 0.000 -3.889 6.737 0.000 0.000 0.000 5.557" Properties=species:S:1:pos:R:3 pbc="T T T"
Te -0.752 2.014 1.592
Te -1.769 6.381 1.592
Te 1.368 1.658 3.965
Te 0.000 4.491 4.315
Te 3.889 2.246 1.242
Te 2.521 5.078 1.592
Te 5.658 0.356 3.965
Te 4.642 4.723 3.965
Ir 0.000 0.000 0.000
Rh 0.000 4.491 1.365
Rh 3.889 2.246 4.192
```

Results
For the density, the calculation gives 8.09 g/cm³. For the density of states at the Fermi level, the calculation gives 5.486 states/eV/f.u. The formation energy from raw total energies is -2.3 kcal/mol of atoms. As for the space group: P-3 (147).

Record 8
RbIr after structural relaxation, computed with GGA-PBE.

extended XYZ file:
```
4
Lattice="6.095 0.000 0.000 -3.047 5.278 0.000 0.000 0.000 7.163" Properties=species:S:1:pos:R:3 pbc="T T T"
Rb 0.000 3.519 1.791
Rb 3.047 1.759 5.372
Ir 0.000 3.519 5.372
Ir 3.047 1.759 1.791
```

Results
For the density, the calculation gives 4.00 g/cm³. For the density of states at the Fermi level, the calculation gives 9.482 states/eV/f.u. The calculation puts the formation energy from the elements at 4.5 eV per formula unit. As for the space group: P6_3/mmc (194).

Record 9
HfSc3Ag3S8 after structural relaxation, computed with GGA-PBE.

extended XYZ file:
```
15
Lattice="6.522 -3.745 0.000 6.522 3.745 0.000 -5.536 0.000 7.413" Properties=species:S:1:pos:R:3 pbc="T T T"
Hf 0.000 0.000 0.000
Sc 3.261 1.872 0.000
Sc 3.261 -1.872 0.000
Sc 6.522 0.000 0.000
Ag 0.493 1.872 3.707
Ag 0.493 -1.872 3.707
Ag 3.754 0.000 3.707
S -3.418 0.000 6.047
S -0.094 1.881 6.004
S 7.601 1.881 1.410
S 4.370 0.000 1.404
S 3.137 0.000 6.009
S -0.094 -1.881 6.004
S 7.601 -1.881 1.410
S 10.925 0.000 1.366
```

Results
For the density, the calculation gives 4.10 g/cm³. The formation energy from raw total energies is -29.3 kcal/mol of atoms. As for the space group: C2/m (12).

Record 10
In4PtCl after structural relaxation, computed with GGA-PBE.

extended XYZ file:
```
6
Lattice="0.000 4.239 4.239 4.239 0.000 4.239 4.239 4.239 0.000" Properties=species:S:1:pos:R:3 pbc="T T T"
In 1.055 1.055 1.055
In 3.183 3.183 1.055
In 3.183 1.055 3.183
In 1.055 3.183 3.183
Pt 6.358 6.358 6.358
Cl 4.239 4.239 4.239
```

Results
For the density, the calculation gives 7.52 g/cm³. For the density of states at the Fermi level, the calculation gives 3.582 states/eV/f.u. The formation energy from raw total energies is 5.0 kcal/mol of atoms. As for the space group: F-43m (216).

Record 11
KSnAs after structural relaxation, computed with GGA-PBE.

extended XYZ file:
```
3
Lattice="4.169 0.000 0.000 -2.084 3.610 0.000 0.000 0.000 6.509" Properties=species:S:1:pos:R:3 pbc="T T T"
K 0.000 0.000 0.000
Sn 2.084 1.203 3.627
As 0.000 2.407 2.284
```

Results
For the density, the calculation gives 3.94 g/cm³. The calculation puts the formation energy from the elements at -1.2 eV per formula unit. As for the space group: P3m1 (156).

Record 12
Sm3RuI2 after structural relaxation, computed with GGA-PBE.

extended XYZ file:
```
6
Lattice="-2.027 3.008 7.709 2.027 -3.008 7.709 2.027 3.008 -7.709" Properties=species:S:1:pos:R:3 pbc="T T T"
Sm 0.000 0.000 0.000
Sm 0.000 0.000 5.899
Sm 0.000 0.000 9.519
Ru 0.000 3.008 0.000
I 2.027 0.000 2.901
I 0.000 3.008 4.808
```

Results
For the density, the calculation gives 7.12 g/cm³. For the density of states at the Fermi level, the calculation gives 5.064 states/eV/f.u. The formation energy from raw total energies is -16.3 kcal/mol of atoms. As for the space group: Immm (71).

Record 13
HgBiTe2 after structural relaxation, computed with GGA-PBE.

extended XYZ file:
```
4
Lattice="2.249 1.299 7.400 -2.249 1.299 7.400 0.000 -2.597 7.400" Properties=species:S:1:pos:R:3 pbc="T T T"
Hg 0.000 0.000 0.000
Bi 0.000 0.000 11.100
Te 0.000 0.000 5.545
Te 0.000 0.000 16.654
```

Results
For the density, the calculation gives 8.51 g/cm³. For the density of states at the Fermi level, the calculation gives 1.644 states/eV/f.u. The formation energy from raw total energies is -3.2 kcal/mol of atoms. As for the space group: R-3m (166).

Record 14
LiYZrPd after structural relaxation, computed with GGA-PBE.

extended XYZ file:
```
4
Lattice="0.000 3.454 3.454 3.454 0.000 3.454 3.454 3.454 0.000" Properties=species:S:1:pos:R:3 pbc="T T T"
Li 0.000 0.000 0.000
Y 1.727 1.727 1.727
Zr 5.182 5.182 5.182
Pd 3.454 3.454 3.454
```

Results
For the density, the calculation gives 5.91 g/cm³. For the density of states at the Fermi level, the calculation gives 5.300 states/eV/f.u. The calculation puts the formation energy from the elements at -0.9 eV per formula unit. As for the space group: F-43m (216).